# Tb2Pr4Dy2Tm GGA-PBE relaxed
data_Tb2Pr4Dy2Tm
_chemical_formula_sum 'Tb4 Pr8 Dy4 Tm2'
_symmetry_space_group_name_H-M 'C 1 2/m 1'
_symmetry_Int_Tables_number 12
_cell_length_a 15.376
_cell_length_b 5.122
_cell_length_c 8.073
_cell_angle_alpha 90.00
_cell_angle_beta 108.58
_cell_angle_gamma 90.00
loop_
_symmetry_equiv_pos_as_xyz
'x,y,z'
'-x,-y,-z'
'-x,y,-z'
'x,-y,z'
'x+1/2,y+1/2,z'
'-x+1/2,-y+1/2,-z'
'-x+1/2,y+1/2,-z'
'x+1/2,-y+1/2,z'
loop_
_atom_site_label
_atom_site_fract_x
_atom_site_fract_y
_atom_site_fract_z
Tb1 0.111 0.000 0.171
Pr1 0.054 0.500 0.831
Pr2 0.223 0.000 0.831
Dy1 0.167 0.500 0.500
Tm1 0.000 0.000 0.500
# **Formation energy**: 0.023 eV/atom